# Pm6Pr3Sm2Sc

A relaxed Pm6Pr3Sm2Sc crystal (PBE, Alexandria).

**Space group**: No. 12

a = 6.295 Å, b = 6.295 Å, c = 12.051 Å
α = 95.00°, β = 95.00°, γ = 120.00°
Sites, in units of the cell vectors:
Pm1 0.919 0.589 0.756
Pm2 0.752 0.752 0.245
Pm3 0.081 0.411 0.244
Pm4 0.589 0.919 0.756
Pm5 0.248 0.248 0.755
Pm6 0.411 0.081 0.244
Pr1 0.166 0.834 0.500
Pr2 0.834 0.166 0.500
Pr3 0.500 0.500 0.500
Sm1 0.333 0.667 0.000
Sm2 0.667 0.333 0.000
Sc1 0.000 0.000 0.000


# PmPr4Sm2Sc

A relaxed PmPr4Sm2Sc crystal (PBE, Alexandria).

**Space group**: No. 10

a = 5.979 Å, b = 5.978 Å, c = 9.638 Å
α = 51.67°, β = 90.00°, γ = 90.00°
Sites, in units of the cell vectors:
Pm1 0.500 0.500 0.000
Pr1 0.000 0.763 0.738
Pr2 0.000 0.237 0.262
Pr3 0.500 0.737 0.264
Pr4 0.500 0.263 0.736
Sm1 0.000 0.000 0.000
Sm2 0.500 0.000 0.500
Sc1 0.000 0.500 0.500


# Pm4Pr2SmSc

A relaxed Pm4Pr2SmSc crystal (PBE, Alexandria).

**Space group**: No. 123

a = 5.113 Å, b = 5.107 Å, c = 11.448 Å
α = 63.48°, β = 90.00°, γ = 90.00°
Sites, in units of the cell vectors:
Pm1 0.000 0.757 0.744
Pm2 0.000 0.243 0.256
Pm3 0.500 0.744 0.256
Pm4 0.500 0.256 0.744
Pr1 0.000 0.000 0.000
Pr2 0.500 0.000 0.500
Sm1 0.500 0.500 0.000
Sc1 0.000 0.500 0.500


# Tb2PmPr5Sc

A relaxed Tb2PmPr5Sc crystal (PBE, Alexandria).

**Space group**: No. 36

a = 5.437 Å, b = 11.367 Å, c = 10.353 Å
α = 90.00°, β = 90.00°, γ = 103.84°
Sites, in units of the cell vectors:
Tb1 0.884 0.768 0.756
Tb2 0.116 0.233 0.759
Tb3 0.116 0.232 0.256
Tb4 0.884 0.767 0.259
Pm1 0.602 0.203 0.008
Pm2 0.398 0.797 0.508
Pr1 0.373 0.746 0.008
Pr2 0.722 0.445 0.821
Pr3 0.500 0.000 0.758
Pr4 0.279 0.557 0.697
Pr5 0.001 0.003 0.508
Pr6 0.627 0.254 0.508
Pr7 0.278 0.555 0.321
Pr8 0.500 0.000 0.258
Pr9 0.721 0.443 0.197
Pr10 0.999 0.997 0.008
Sc1 0.786 0.572 0.509
Sc2 0.214 0.428 0.009


# Tb4PmPr2Sc

A relaxed Tb4PmPr2Sc crystal (PBE, Alexandria).

**Space group**: No. 123

a = 5.056 Å, b = 5.055 Å, c = 11.301 Å
α = 63.42°, β = 90.00°, γ = 90.00°
Sites, in units of the cell vectors:
Tb1 0.000 0.756 0.744
Tb2 0.000 0.244 0.256
Tb3 0.500 0.744 0.256
Tb4 0.500 0.256 0.744
Pm1 0.500 0.500 0.000
Pr1 0.000 0.000 0.000
Pr2 0.500 0.000 0.500
Sc1 0.000 0.500 0.500


# TbPm2PrSc

A relaxed TbPm2PrSc crystal (PBE, Alexandria).

**Space group**: No. 63

a = 7.187 Å, b = 8.290 Å, c = 7.088 Å
α = 125.79°, β = 90.00°, γ = 90.00°
Sites, in units of the cell vectors:
Tb1 0.750 0.741 0.483
Tb2 0.250 0.259 0.517
Pm1 0.500 0.301 0.000
Pm2 0.000 0.699 0.000
Pm3 0.500 0.699 0.000
Pm4 0.000 0.301 0.000
Pr1 0.250 0.728 0.457
Pr2 0.750 0.272 0.543
Sc1 0.250 0.990 0.980
Sc2 0.750 0.010 0.020


Number 1: ΔH_f (0 K) 0.03 eV per atom. Number 2: ΔH_f (0 K) 0.08 eV per atom. Number 3: ΔH_f (0 K) 0.03 eV per atom. Number 4: ΔH_f (0 K) 0.12 eV per atom. Number 5: ΔH_f (0 K) 0.03 eV per atom. Number 6: ΔH_f (0 K) 0.34 eV per atom.